1.
LaCo | SCAN | single point on PBEsol structure

```
LaCo
1.0
3.717 0.000 0.000
-1.859 3.219 0.000
0.000 0.000 7.934
La Co
2 2
direct
0.333 0.667 0.295 La
0.667 0.333 0.705 La
0.333 0.667 0.961 Co
0.667 0.333 0.039 Co
```

## Properties
ΔE_f, eV per atom: 0.362



2.
SrV2P4O14 | SCAN | single point on PBEsol structure

```
SrV2P4O14
1.0
4.812 0.000 0.000
-2.036 6.817 0.000
-0.303 -0.096 7.819
Sr V P O
1 2 4 14
direct
0.000 0.000 0.000 Sr
0.000 0.000 0.500 V
0.500 0.500 0.000 V
0.032 0.617 0.753 P
0.383 0.773 0.297 P
0.617 0.227 0.703 P
0.968 0.383 0.247 P
0.091 0.801 0.649 O
0.119 0.351 0.083 O
0.180 0.906 0.293 O
0.194 0.557 0.352 O
0.306 0.558 0.793 O
0.376 0.175 0.567 O
0.486 0.762 0.113 O
0.514 0.238 0.887 O
0.624 0.825 0.433 O
0.694 0.442 0.207 O
0.806 0.443 0.648 O
0.820 0.094 0.707 O
0.881 0.649 0.917 O
0.909 0.199 0.351 O
```

## Properties
Uncorrected formation energy, eV/atom: -2.713



3.
KHg3Pt | SCAN | single point on PBEsol structure

```
KHg3Pt
1.0
5.252 0.000 0.000
0.000 5.252 0.000
0.000 0.000 5.252
K Hg Pt
1 3 1
direct
0.000 0.000 0.000 K
0.000 0.500 0.500 Hg
0.500 0.000 0.500 Hg
0.500 0.500 0.000 Hg
0.500 0.500 0.500 Pt
```

## Properties
ΔE_f, eV per atom: -0.338



4.
Y2HgBr | SCAN | single point on PBEsol structure

```
Y2HgBr
1.0
-2.287 2.809 3.844
2.287 -2.809 3.844
2.287 2.809 -3.844
Y Hg Br
2 1 1
direct
0.238 0.238 0.000 Y
0.762 0.762 0.000 Y
0.500 0.000 0.500 Hg
0.000 0.500 0.500 Br
```

## Properties
Uncorrected formation energy, eV/atom: -0.747
Polymorph energy (0 for the lowest one), meV/atom: 246.6



5.
SiCl2O | SCAN | single point on PBEsol structure

```
SiCl2O
1.0
6.619 0.000 0.000
2.652 8.629 0.000
2.574 1.807 11.092
Si Cl O
6 12 6
direct
0.006 0.000 0.293 Si
0.009 0.230 0.064 Si
0.037 0.324 0.292 Si
0.963 0.676 0.708 Si
0.991 0.770 0.936 Si
0.994 0.000 0.707 Si
0.211 0.522 0.625 Cl
0.258 0.813 0.318 Cl
0.263 0.683 0.007 Cl
0.266 0.206 0.930 Cl
0.269 0.060 0.629 Cl
0.316 0.357 0.311 Cl
0.684 0.643 0.689 Cl
0.731 0.940 0.371 Cl
0.734 0.794 0.070 Cl
0.737 0.317 0.993 Cl
0.742 0.187 0.682 Cl
0.789 0.478 0.375 Cl
0.006 0.060 0.148 O
0.023 0.349 0.149 O
0.024 0.144 0.351 O
0.976 0.856 0.649 O
0.977 0.651 0.851 O
0.994 0.940 0.852 O
```

## Properties
Uncorrected formation energy, eV/atom: -1.953



6.
Ti2Ni2Au | SCAN | single point on PBEsol structure

```
Ti2Ni2Au
1.0
6.735 0.000 0.000
0.000 6.735 0.000
0.000 0.000 3.015
Ti Ni Au
4 4 2
direct
0.170 0.330 0.000 Ti
0.330 0.830 0.000 Ti
0.670 0.170 0.000 Ti
0.830 0.670 0.000 Ti
0.126 0.626 0.500 Ni
0.374 0.126 0.500 Ni
0.626 0.874 0.500 Ni
0.874 0.374 0.500 Ni
0.000 0.000 0.500 Au
0.500 0.500 0.500 Au
```

## Properties
ΔE_f, eV per atom: -0.570



7.
Co3SbO8 | SCAN | single point on PBEsol structure

```
Co3SbO8
1.0
5.606 0.000 0.000
-2.803 4.855 0.000
0.000 0.000 9.028
Co Sb O
6 2 16
direct
0.169 0.337 0.000 Co
0.169 0.831 0.000 Co
0.337 0.169 0.500 Co
0.663 0.831 0.000 Co
0.831 0.169 0.500 Co
0.831 0.663 0.500 Co
0.333 0.667 0.279 Sb
0.667 0.333 0.779 Sb
0.000 0.000 0.094 O
0.000 0.000 0.594 O
0.030 0.515 0.118 O
0.157 0.314 0.388 O
0.157 0.843 0.388 O
0.314 0.157 0.888 O
0.333 0.667 0.897 O
0.485 0.515 0.118 O
0.485 0.970 0.118 O
0.515 0.030 0.618 O
0.515 0.485 0.618 O
0.667 0.333 0.397 O
0.686 0.843 0.388 O
0.843 0.157 0.888 O
0.843 0.686 0.888 O
0.970 0.485 0.618 O
```

## Properties
Uncorrected formation energy, eV/atom: -1.268



8.
Fe2AgRhI | SCAN | single point on PBEsol structure

```
Fe2AgRhI
1.0
4.580 0.000 0.000
0.000 4.580 0.000
0.000 0.000 4.774
Fe Ag Rh I
2 1 1 1
direct
0.000 0.500 0.000 Fe
0.500 0.000 0.000 Fe
0.000 0.000 0.500 Ag
0.500 0.500 0.500 Rh
0.500 0.500 0.000 I
```

## Properties
Uncorrected formation energy, eV/atom: 1.331